A plane-wave DFT calculation with PBE with a Hubbard U was carried out for a geometry-optimized K3Dy2CrO6 structure.

```
K3Dy2CrO6
1.0
2.911 -5.042 0.000
2.911 5.042 0.000
-1.935 0.000 6.208
K Dy Cr O
3 2 1 6
Direct
0.000 0.000 0.000
0.337 0.663 0.000
0.663 0.337 0.000
0.167 0.833 0.500
0.833 0.167 0.500
0.500 0.500 0.500
0.128 0.440 0.318
0.248 0.248 0.681
0.440 0.128 0.318
0.560 0.872 0.682
0.752 0.752 0.319
0.872 0.560 0.682
```

Output
SG: C2/m
M_tot in μB/cell: 2.99
Energy in eV/atom: -6.541